Below is a relaxed structure of Na2Zn2GaAu5, with properties calculated at the GGA-PBE level.

As for the total moment: 0.000 μB/atom. Its formation energy from the elements is -259 meV per atom.

Unit cell a=3.5232 b=10.4313 c=10.4313 alpha=90.00 beta=90.00 gamma=90.00
Atoms (fractional coordinates):
Na1 0.0000 0.6732 0.1732
Na2 0.0000 0.3268 0.8268
Na3 0.0000 0.1732 0.3268
Na4 0.0000 0.8268 0.6732
Zn1 0.0000 0.1294 0.6294
Zn2 0.0000 0.8706 0.3706
Zn3 0.0000 0.6294 0.8706
Zn4 0.0000 0.3706 0.1294
Ga1 0.0000 0.0000 0.0000
Ga2 0.0000 0.5000 0.5000
Au1 0.5000 0.1943 0.0597
Au2 0.5000 0.8057 0.9403
Au3 0.5000 0.0597 0.8057
Au4 0.5000 0.6943 0.4403
Au5 0.5000 0.9403 0.1943
Au6 0.5000 0.3057 0.5597
Au7 0.5000 0.5597 0.6943
Au8 0.5000 0.4403 0.3057
Au9 0.5000 0.5000 0.0000
Au10 0.5000 0.0000 0.5000